First-principles (PBE with a Hubbard U) data for a relaxed structure of UNiBiO6, as listed in Alexandria.

Lattice parameters (Å, degrees): 5.3729 5.3729 9.8942 90.00 90.00 120.00
Space group P-31c (No. 163)
Asymmetric unit:
U 0.3333 0.6667 0.2500 x2
Ni 0.3333 0.6667 0.7500 x2
Bi 0.0000 0.0000 0.0000 x2
O 0.9998 0.3491 0.1358 x12

Calculated values
- Energy: -64.74 eV/f.u.
- Crystal system: trigonal